Entry 1:
12
Lattice="4.450 -0.009 -1.251 -3.329 6.479 -3.319 -0.177 -0.903 7.951" Properties=species:S:1:pos:R:3 comment="PBE Sc5ZnPd6, relaxed" rho_g_cm3=7.33 final_energy_ev_per_atom=-6.1849 sg="No. 12" pbc="T T T"
Pd 0.174 5.403 0.641
Pd 2.469 1.443 0.254
Pd -0.289 2.640 -1.040
Pd 0.769 0.163 2.741
Pd -1.526 4.123 3.127
Pd 1.232 2.927 4.422
Zn 0.000 0.000 0.000
Sc -2.287 4.037 0.409
Sc 1.549 0.260 5.543
Sc -0.606 5.306 -2.161
Sc -1.220 1.539 4.223
Sc 0.472 2.783 1.691

=====

Entry 2:
14
Lattice="4.370 0.000 0.000 0.000 7.237 0.000 0.000 0.000 7.237" Properties=species:S:1:pos:R:3 comment="PBE ScZn4Pd2, relaxed" rho_g_cm3=7.54 final_energy_ev_per_atom=-3.5597 sg="No. 136" de_polymorph_mev_per_atom=0 pbc="T T T"
Zn 0.000 0.784 2.615
Zn 0.000 4.621 6.453
Zn 2.185 4.402 1.003
Zn 0.000 2.615 0.784
Zn 0.000 6.453 4.621
Zn 2.185 1.003 4.402
Zn 2.185 6.234 2.835
Zn 2.185 2.835 6.234
Pd 2.185 5.194 5.194
Pd 2.185 2.043 2.043
Pd 0.000 5.661 1.576
Pd 0.000 1.576 5.661
Sc 2.185 0.000 0.000
Sc 0.000 3.618 3.618

=====

Entry 3:
16
Lattice="3.990 0.000 0.000 0.000 3.990 0.000 0.000 0.000 15.902" Properties=species:S:1:pos:R:3 comment="PBE Sc3ZnPd12, relaxed" rho_g_cm3=9.69 final_energy_ev_per_atom=-5.8680 sg="No. 123" pbc="T T T"
Pd 1.995 0.000 13.982
Pd 0.000 1.995 5.939
Pd 0.000 1.995 13.982
Pd 0.000 1.995 9.963
Pd 1.995 0.000 9.963
Pd 1.995 0.000 1.920
Pd 1.995 1.995 7.951
Pd 1.995 1.995 3.936
Pd 1.995 0.000 5.939
Pd 1.995 1.995 0.000
Pd 0.000 1.995 1.920
Pd 1.995 1.995 11.966
Zn 0.000 0.000 0.000
Sc 0.000 0.000 12.004
Sc 0.000 0.000 7.951
Sc 0.000 0.000 3.898

=====

Entry 4:
9
Lattice="4.571 0.000 0.001 2.285 3.955 0.150 -0.002 -0.343 9.134" Properties=species:S:1:pos:R:3 comment="PBE Sc4Zn3Pd2, relaxed" rho_g_cm3=5.91 final_energy_ev_per_atom=-4.9472 sg="No. 164" pbc="T T T"
Zn 2.285 1.144 4.707
Zn 0.000 0.000 0.000
Zn 4.570 2.469 4.577
Sc 2.285 1.278 1.115
Sc 2.285 3.841 3.184
Sc 4.570 -0.228 6.100
Sc 4.569 2.334 8.170
Pd 4.570 2.573 1.787
Pd 2.284 1.040 7.497

=====

Entry 5:
10
Lattice="-1.681 4.402 1.297 -4.447 -1.222 -1.617 1.034 -4.704 8.098" Properties=species:S:1:pos:R:3 comment="PBE ScZn3Pd, relaxed" rho_g_cm3=5.51 final_energy_ev_per_atom=-3.1582 sg="No. 119" de_polymorph_mev_per_atom=381 pbc="T T T"
Pd -3.239 -2.168 3.160
Pd 0.000 0.000 0.000
Zn -1.639 -1.096 1.597
Zn -3.326 -4.024 4.803
Zn -1.258 -1.928 4.915
Zn -3.837 0.405 2.862
Zn -3.835 -1.700 0.798
Zn -4.156 -1.851 5.443
Sc -1.085 1.826 1.606
Sc -2.626 -0.537 7.628

=====

Entry 6:
6
Lattice="-1.847 -1.793 -2.106 2.711 -0.674 -1.804 1.840 -9.159 6.186" Properties=species:S:1:pos:R:3 comment="PBE Sc4ZnPd, relaxed" rho_g_cm3=4.71 final_energy_ev_per_atom=-5.6899 sg="No. 123" de_polymorph_mev_per_atom=0 pbc="T T T"
Zn 0.000 0.000 0.000
Sc 1.992 -8.996 3.288
Sc 0.713 -2.630 -1.012
Sc 0.653 -3.252 2.196
Sc 2.051 -8.374 0.080
Pd 1.352 -5.813 1.138

=====

Number 1: DFT formation energy -81 kJ per mole of atoms. Number 2: DFT formation energy -43 kJ per mole of atoms. Number 3: DFT formation energy -68 kJ per mole of atoms. Number 4: DFT formation energy -54 kJ per mole of atoms. Number 5: DFT formation energy -9 kJ per mole of atoms. Number 6: DFT formation energy -38 kJ per mole of atoms.